First-principles (SCAN) data for a PBEsol-optimized structure of Al2HgTe, as listed in the Alexandria database.

raw total energy: -30.1494 eV/atom
ΔE_f (raw): 0.08 eV/atom
space group: Imm2
density of states at the Fermi level: 1.46 states/eV/cell

abc: 6.305 6.305 6.305
angles: 145.74 140.55 53.23
Fractional positions:
Al: 0.000 0.000 0.000
Al: 0.793 0.293 0.500
Hg: 0.468 0.468 0.000
Te: 0.200 0.700 0.500